Record 1
Below is a PBEsol-optimized structure of Sb2TePtBr, with properties calculated at the SCAN level.

Lattice parameters (Å, degrees): 5.3598 5.3598 5.2316 90.00 90.00 90.00
Space group P4/mmm (No. 123)
Asymmetric unit:
Sb: 0.0000 0.5000 0.0000 (multiplicity 2)
Te: 0.0000 0.0000 0.5000 (multiplicity 1)
Pt: 0.5000 0.5000 0.5000 (multiplicity 1)
Br: 0.0000 0.0000 0.0000 (multiplicity 1)

The calculation puts the formation energy (no corrections) at 1.571 eV per atom. The value obtained for the calculated volume is 30.06 Å³/atom. The total energy is -193.572 eV/cell.



Record 2
Below is a PBEsol-optimized structure of RbRuF2, with properties calculated at the SCAN level.

Lattice parameters (Å, degrees): 6.2943 6.2943 6.2943 90.00 90.00 90.00
Space group Fm-3m (No. 225)
Asymmetric unit:
Rb: 0.0000 0.0000 0.0000 (multiplicity 4)
Ru: 0.0000 0.0000 0.5000 (multiplicity 4)
F: 0.2500 0.2500 0.2500 (multiplicity 8)

The calculation puts the formation energy (no corrections) at -1.043 eV per atom. The value obtained for the calculated volume is 15.59 Å³/atom. The total energy is -267.264 eV/cell.



Please write out number 1 again, unchanged.
Below is a PBEsol-optimized structure of Sb2TePtBr, with properties calculated at the SCAN level.

Lattice parameters (Å, degrees): 5.3598 5.3598 5.2316 90.00 90.00 90.00
Space group P4/mmm (No. 123)
Asymmetric unit:
Sb: 0.0000 0.5000 0.0000 (multiplicity 2)
Te: 0.0000 0.0000 0.5000 (multiplicity 1)
Pt: 0.5000 0.5000 0.5000 (multiplicity 1)
Br: 0.0000 0.0000 0.0000 (multiplicity 1)

The calculation puts the formation energy (no corrections) at 1.571 eV per atom. The value obtained for the calculated volume is 30.06 Å³/atom. The total energy is -193.572 eV/cell.



Repeat the first record exactly.
Below is a PBEsol-optimized structure of Sb2TePtBr, with properties calculated at the SCAN level.

Lattice parameters (Å, degrees): 5.3598 5.3598 5.2316 90.00 90.00 90.00
Space group P4/mmm (No. 123)
Asymmetric unit:
Sb: 0.0000 0.5000 0.0000 (multiplicity 2)
Te: 0.0000 0.0000 0.5000 (multiplicity 1)
Pt: 0.5000 0.5000 0.5000 (multiplicity 1)
Br: 0.0000 0.0000 0.0000 (multiplicity 1)

The calculation puts the formation energy (no corrections) at 1.571 eV per atom. The value obtained for the calculated volume is 30.06 Å³/atom. The total energy is -193.572 eV/cell.



- The lowest calculated volume belongs to which entry?
  RbRuF2



- What is the formula in the second record?
  RbRuF2